ErSiO3 after structural relaxation, computed with PBE-GGA.

abc: 4.7698 5.2402 5.5053
angles: 68.08 64.74 85.61
Closest atoms and distances in Å follow each position.
Space group P1 (No. 1)
One atom of each set of equivalent atoms:
Er: 0.0000 0.0000 0.0000 [1 per cell]  5 O 2.18-2.45
Er: 0.4539 0.4546 0.0976 [1 per cell]  5 O 2.14-2.40
Si: 0.2250 0.7380 0.5597 [1 per cell]  4 O 1.66-1.77
Si: 0.7671 0.3360 0.5464 [1 per cell]  3 O 1.66-1.79
O: 0.0130 0.6397 0.3683 [1 per cell]  1 Si 1.73
O: 0.3879 0.8107 0.7499 [1 per cell]  1 Si 1.70
O: 0.3917 0.4238 0.5637 [1 per cell]  2 Si 1.77-1.79
O: 0.4314 0.9798 0.2294 [1 per cell]  1 Si 1.68
O: 0.8762 0.7248 0.8216 [1 per cell]  1 Si 1.66
O: 0.9045 0.2635 0.2489 [1 per cell]  1 Si 1.66

Calculated values
Crystal system: triclinic
Theoretical density in g/cm3: 7.0
DFT total energy in eV/atom: -7.756